DFT (PBE) results for crystalline PrIn2Ni2Sn at its relaxed geometry.

Crystal system = tetragonal
Total magnetization = 0.000 μB per formula unit
Formation energy from the elements = -2.519 kcal/mol of atoms

Structure (CIF):
```
data_PrIn2Ni2Sn
_chemical_formula_sum 'Pr1 In2 Ni2 Sn1'
_cell_length_a 4.722
_cell_length_b 4.722
_cell_length_c 6.107
_cell_angle_alpha 90.00
_cell_angle_beta 90.00
_cell_angle_gamma 90.00
_space_group_name_H-M_alt 'P 4/m m m'
_space_group_IT_number 123
_space_group_name_Hall '-P 4 2'
loop_
_atom_site_label
_atom_site_type_symbol
_atom_site_fract_x
_atom_site_fract_y
_atom_site_fract_z
Pr1 Pr 0.000 0.000 0.000
In1 In 0.500 0.500 0.245
Ni1 Ni 0.000 0.500 0.500
Sn1 Sn 0.000 0.000 0.500
```